No. 1
Material: HgSb2Os
Method: DFT, PBEsol
State: relaxed

Unit cell a=4.8670 b=4.8670 c=4.8670 alpha=60.00 beta=60.00 gamma=60.00
Closest atoms and distances in Å follow each position.
Atoms (fractional coordinates):
1 Os 0.7500 0.7500 0.7500  4 Hg 2.98, 4 Sb 2.98
2 Sb 0.2500 0.2500 0.2500  4 Hg 2.98, 4 Sb 2.98
3 Sb 0.0000 0.0000 0.0000  4 Os 2.98, 4 Sb 2.98
4 Hg 0.5000 0.5000 0.5000  4 Sb 2.98, 4 Os 2.98

Computed properties:
Energy relative to the elements, uncorrected: 0.839 eV/atom
Density of states at the Fermi level: 0.715 states/eV/atom
E: -4.64 eV/atom

No. 2
Material: ScHgOs
Method: DFT, PBEsol
State: relaxed

Unit cell a=4.4615 b=4.4615 c=4.4615 alpha=60.00 beta=60.00 gamma=60.00
Closest atoms and distances in Å follow each position.
Atoms (fractional coordinates):
1 Os 0.2500 0.2500 0.2500  4 Hg 2.73, 4 Sc 2.73
2 Sc 0.0000 0.0000 0.0000  4 Os 2.73
3 Hg 0.5000 0.5000 0.5000  4 Os 2.73

Computed properties:
Density of states at the Fermi level: 1.852 states/eV/atom
Energy of formation from the pure elements: 415 meV per atom
E: -6.05 eV/atom

No. 3
Material: Sc2HgOs
Method: DFT, PBEsol
State: relaxed

Unit cell a=3.6085 b=3.6085 c=5.8720 alpha=90.00 beta=90.00 gamma=90.00
Closest atoms and distances in Å follow each position.
Atoms (fractional coordinates):
1 Hg 0.0000 0.0000 0.4838  5 Sc 2.75-2.87
2 Sc 0.5000 0.5000 0.2613  1 Os 2.69, 4 Hg 2.87
3 Sc 0.0000 0.0000 0.9520  4 Os 2.70, 1 Hg 2.75
4 Os 0.5000 0.5000 0.8029  5 Sc 2.69-2.70

Computed properties:
Density of states at the Fermi level: 0.420 states/eV/atom
Energy of formation from the pure elements: -95 meV per atom
E: -6.59 eV/atom

No. 4
Material: Sc3HgOs
Method: DFT, PBEsol
State: relaxed

Unit cell a=4.9590 b=4.9590 c=4.9590 alpha=90.00 beta=90.00 gamma=90.00
Closest atoms and distances in Å follow each position.
Atoms (fractional coordinates):
1 Sc 0.0000 0.5000 0.0000  2 Os 2.48
2 Sc 0.5000 0.0000 0.0000  2 Os 2.48
3 Sc 0.0000 0.0000 0.5000  2 Os 2.48
4 Os 0.0000 0.0000 0.0000  6 Sc 2.48
5 Hg 0.5000 0.5000 0.5000  12 Sc 3.51

Computed properties:
Density of states at the Fermi level: 0.673 states/eV/atom
Energy of formation from the pure elements: -35 meV per atom
E: -6.55 eV/atom

No. 5
Material: Sc2HgOs
Method: DFT, PBEsol
State: relaxed

Unit cell a=3.2331 b=3.2331 c=7.0420 alpha=90.00 beta=90.00 gamma=90.00
Closest atoms and distances in Å follow each position.
Atoms (fractional coordinates):
1 Os 0.5000 0.5000 0.5000  8 Sc 2.75
2 Sc 0.0000 0.0000 0.7167  4 Os 2.75, 4 Hg 3.03, 1 Sc 3.05
3 Sc 0.0000 0.0000 0.2833  4 Os 2.75, 4 Hg 3.03, 1 Sc 3.05
4 Hg 0.5000 0.5000 0.0000  8 Sc 3.03, 4 Hg 3.23

Computed properties:
Density of states at the Fermi level: 0.522 states/eV/atom
Energy of formation from the pure elements: -545 meV per atom
E: -7.04 eV/atom

No. 6
Material: Sc2HgTeOs
Method: DFT, PBEsol
State: relaxed

Unit cell a=5.1307 b=5.1307 c=5.2153 alpha=90.00 beta=90.00 gamma=90.00
Closest atoms and distances in Å follow each position.
Atoms (fractional coordinates):
1 Sc 0.5000 0.0000 0.0000  2 Hg 2.57
2 Sc 0.0000 0.5000 0.0000  2 Hg 2.57
3 Os 0.5000 0.5000 0.5000  4 Te 3.63, 8 Sc 3.66
4 Te 0.0000 0.0000 0.5000  2 Hg 2.61
5 Hg 0.0000 0.0000 0.0000  4 Sc 2.57, 2 Te 2.61

Computed properties:
Energy relative to the elements, uncorrected: 1.429 eV/atom
Density of states at the Fermi level: 1.092 states/eV/atom
E: -4.47 eV/atom